Material: PmMn2Si2Pt7
Method: DFT, PBE-GGA
State: optimized geometry

Summary:
* formation energy (no corrections): -0.546 eV/atom
* N(E_F): 3.65 states/eV/cell
* density: 13.98 g/cm3

Cell lengths 4.079, 4.079, 11.972 Å; angles 90.08, 90.08, 88.94 degrees
Positions (direct):
Pm 0.000 0.000 0.000
Mn 0.001 0.001 0.337
Mn 0.999 0.999 0.663
Si 0.499 0.499 0.688
Si 0.501 0.501 0.312
Pt 0.000 0.499 0.811
Pt 0.000 0.501 0.189
Pt 0.274 0.274 0.501
Pt 0.499 0.000 0.811
Pt 0.500 0.500 0.000
Pt 0.501 0.000 0.189
Pt 0.726 0.726 0.499